No. 1
Density functional theory data (GGA-PBE) for crystalline TbRuC at its relaxed geometry.

Unit cell a=3.3644 b=3.3644 c=4.8085 alpha=90.00 beta=90.00 gamma=120.00
Closest atoms and distances in Å follow each position.
Space group P3m1 (No. 156)
One atom of each set of equivalent atoms:
Tb 0.0000 0.0000 0.0000 (multiplicity 1)  3 C 2.53
Ru 0.3333 0.6667 0.5235 (multiplicity 1)  3 C 2.06
C 0.6667 0.3333 0.6633 (multiplicity 1)  3 Ru 2.06

Values from the calculation:
The energy of formation from the pure elements comes out at -0.153 eV per atom. For the raw total energy, the calculation gives -23.590 eV for the cell shown. The calculation puts the total magnetization at 0.0 μB per formula unit. The value obtained for the density of states at the Fermi level is 0.99 states/eV/cell. The value obtained for the energy above the lowest structure with this stoichiometry is 73 meV/atom.

---

No. 2
Density functional theory data (GGA-PBE) for crystalline TbTh2RuC2 at its relaxed geometry.

Unit cell a=5.8802 b=11.0827 c=3.7698 alpha=90.00 beta=90.00 gamma=90.00
Closest atoms and distances in Å follow each position.
Space group Pnnm (No. 58)
One atom of each set of equivalent atoms:
Tb 0.0000 0.0000 0.0000 (multiplicity 2)  4 C 2.63
Th 0.0414 0.2971 0.5000 (multiplicity 4)  3 C 2.50-2.54
Ru 0.0000 0.5000 0.0000 (multiplicity 2)  2 C 2.12
C 0.2174 0.8818 0.5000 (multiplicity 4)  1 Ru 2.12

Values from the calculation:
The energy of formation from the pure elements comes out at -0.222 eV per atom. For the raw total energy, the calculation gives -97.052 eV for the cell shown. The calculation puts the total magnetization at 0.0 μB per formula unit. The value obtained for the density of states at the Fermi level is 9.87 states/eV/cell.